Record 1
# LiAgRh2 PBE-GGA relaxed
# E above lowest polymorph: 0.31 eV/f.u.
# ΔE_f: 0.075 eV/atom
# crystal system: trigonal
# raw total energy: -4.792 eV/atom
data_LiAgRh2
_cell_length_a 2.7209
_cell_length_b 2.7209
_cell_length_c 27.6668
_cell_angle_alpha 90.00
_cell_angle_beta 90.00
_cell_angle_gamma 120.00
_symmetry_space_group_name_H-M 'R -3 m'
_symmetry_Int_Tables_number 166
_symmetry_space_group_name_Hall '-R 3 2"'
loop_
_atom_site_label
_atom_site_type_symbol
_atom_site_fract_x
_atom_site_fract_y
_atom_site_fract_z
Li1 Li 0.0000 0.0000 0.0000
Ag1 Ag 0.0000 0.0000 0.5000
Rh1 Rh 0.0000 0.0000 0.2549

---

Record 2
# Tb6SbAs3Se2 PBE-GGA relaxed
# crystal system: monoclinic
# uncorrected formation energy: -1.5943 eV/atom
# raw total energy: -5.996 eV/atom
data_Tb6SbAs3Se2
_cell_length_a 18.221
_cell_length_b 4.171
_cell_length_c 8.365
_cell_angle_alpha 90.00
_cell_angle_beta 103.63
_cell_angle_gamma 90.00
_symmetry_space_group_name_H-M 'C 1 2/m 1'
_symmetry_Int_Tables_number 12
_symmetry_space_group_name_Hall '-C 2y'
loop_
_atom_site_label
_atom_site_type_symbol
_atom_site_fract_x
_atom_site_fract_y
_atom_site_fract_z
Tb1 Tb 0.002 0.000 0.238
Tb2 Tb 0.164 0.500 0.090
Tb3 Tb 0.171 0.500 0.578
Sb1 Sb 0.000 0.500 0.500
As1 As 0.000 0.500 0.000
As2 As 0.166 0.000 0.332
Se1 Se 0.169 0.000 0.836

---

Record 3
# Sr3Nd3TmS8 PBE-GGA relaxed
# crystal system: trigonal
# uncorrected formation energy: -2.0793 eV/atom
# raw total energy: -5.869 eV/atom
data_Sr3Nd3TmS8
_cell_length_a 8.1873
_cell_length_b 8.1873
_cell_length_c 20.7597
_cell_angle_alpha 90.00
_cell_angle_beta 90.00
_cell_angle_gamma 120.00
_symmetry_space_group_name_H-M 'R -3 m'
_symmetry_Int_Tables_number 166
_symmetry_space_group_name_Hall '-R 3 2"'
loop_
_atom_site_label
_atom_site_type_symbol
_atom_site_fract_x
_atom_site_fract_y
_atom_site_fract_z
Sr1 Sr 0.0000 0.5000 0.0000
Nd1 Nd 0.0000 0.5000 0.5000
Tm1 Tm 0.0000 0.0000 0.5000
S1 S 0.0000 0.0000 0.2468
S2 S 0.0149 0.5074 0.2417

---

Record 4
# Ca2TlReN PBE-GGA relaxed
# crystal system: tetragonal
# uncorrected formation energy: -0.3368 eV/atom
# raw total energy: -5.765 eV/atom
data_Ca2TlReN
_cell_length_a 5.098
_cell_length_b 5.098
_cell_length_c 3.913
_cell_angle_alpha 90.00
_cell_angle_beta 90.00
_cell_angle_gamma 90.00
_symmetry_space_group_name_H-M 'P 4/m m m'
_symmetry_Int_Tables_number 123
_symmetry_space_group_name_Hall '-P 4 2'
loop_
_atom_site_label
_atom_site_type_symbol
_atom_site_fract_x
_atom_site_fract_y
_atom_site_fract_z
Ca1 Ca 0.000 0.500 0.000
Tl1 Tl 0.000 0.000 0.500
Re1 Re 0.500 0.500 0.500
N1 N 0.500 0.500 0.000

---

Record 5
# TlAs2Os PBE-GGA relaxed
# E above lowest polymorph: 1.13 eV/f.u.
# ΔE_f: 0.421 eV/atom
# crystal system: orthorhombic
# raw total energy: -5.303 eV/atom
data_TlAs2Os
_cell_length_a 3.050
_cell_length_b 5.308
_cell_length_c 10.184
_cell_angle_alpha 90.00
_cell_angle_beta 90.00
_cell_angle_gamma 90.00
_symmetry_space_group_name_H-M 'C m m m'
_symmetry_Int_Tables_number 65
_symmetry_space_group_name_Hall '-C 2 2'
loop_
_atom_site_label
_atom_site_type_symbol
_atom_site_fract_x
_atom_site_fract_y
_atom_site_fract_z
Tl1 Tl 0.000 0.000 0.000
As1 As 0.000 0.500 0.302
Os1 Os 0.000 0.000 0.500

---

Record 6
# CeEuSiAu PBE-GGA relaxed
# crystal system: cubic
# uncorrected formation energy: -0.5513 eV/atom
# raw total energy: -6.778 eV/atom
data_CeEuSiAu
_cell_length_a 7.389
_cell_length_b 7.389
_cell_length_c 7.389
_cell_angle_alpha 90.00
_cell_angle_beta 90.00
_cell_angle_gamma 90.00
_symmetry_space_group_name_H-M 'F -4 3 m'
_symmetry_Int_Tables_number 216
_symmetry_space_group_name_Hall 'F -4 2 3'
loop_
_atom_site_label
_atom_site_type_symbol
_atom_site_fract_x
_atom_site_fract_y
_atom_site_fract_z
Ce1 Ce 0.000 0.000 0.000
Eu1 Eu 0.000 0.000 0.500
Si1 Si 0.250 0.250 0.250
Au1 Au 0.250 0.250 0.750

---

Record 7
# Nd4AlZn2In PBE-GGA relaxed
# ΔE_f: -0.359 eV/atom
# crystal system: trigonal
# raw total energy: -3.872 eV/atom
data_Nd4AlZn2In
_cell_length_a 5.3165
_cell_length_b 5.3165
_cell_length_c 26.0730
_cell_angle_alpha 90.00
_cell_angle_beta 90.00
_cell_angle_gamma 120.00
_symmetry_space_group_name_H-M 'R -3 m'
_symmetry_Int_Tables_number 166
_symmetry_space_group_name_Hall '-R 3 2"'
loop_
_atom_site_label
_atom_site_type_symbol
_atom_site_fract_x
_atom_site_fract_y
_atom_site_fract_z
Nd1 Nd 0.0000 0.0000 0.1218
Nd2 Nd 0.0000 0.0000 0.3717
Al1 Al 0.0000 0.0000 0.0000
Zn1 Zn 0.0000 0.0000 0.2494
In1 In 0.0000 0.0000 0.5000

---

Record 8
# Pm8ZnSn2 PBE-GGA relaxed
# ΔE_f: -0.327 eV/atom
# crystal system: monoclinic
# raw total energy: -4.625 eV/atom
data_Pm8ZnSn2
_cell_length_a 19.616
_cell_length_b 5.195
_cell_length_c 6.874
_cell_angle_alpha 90.00
_cell_angle_beta 105.25
_cell_angle_gamma 90.00
_symmetry_space_group_name_H-M 'C 1 2/m 1'
_symmetry_Int_Tables_number 12
_symmetry_space_group_name_Hall '-C 2y'
loop_
_atom_site_label
_atom_site_type_symbol
_atom_site_fract_x
_atom_site_fract_y
_atom_site_fract_z
Pm1 Pm 0.015 0.000 0.280
Pm2 Pm 0.092 0.500 0.975
Pm3 Pm 0.153 0.500 0.497
Pm4 Pm 0.214 0.000 0.815
Zn1 Zn 0.000 0.500 0.500
Sn1 Sn 0.179 0.000 0.251

---

Record 9
# SnSbTePb PBE-GGA relaxed
# crystal system: triclinic
# uncorrected formation energy: -0.1274 eV/atom
# raw total energy: -3.871 eV/atom
data_SnSbTePb
_cell_length_a 4.432
_cell_length_b 4.471
_cell_length_c 7.974
_cell_angle_alpha 88.05
_cell_angle_beta 74.06
_cell_angle_gamma 60.60
_symmetry_space_group_name_H-M 'P 1'
_symmetry_Int_Tables_number 1
_symmetry_space_group_name_Hall 'P 1'
loop_
_atom_site_label
_atom_site_type_symbol
_atom_site_fract_x
_atom_site_fract_y
_atom_site_fract_z
Sn1 Sn 0.000 0.000 0.000
Sb1 Sb 0.445 0.303 0.804
Te1 Te 0.445 0.828 0.281
Pb1 Pb 0.972 0.533 0.523

---

Record 10
# Sr2LaPt PBE-GGA relaxed
# E above lowest polymorph: 0.60 eV/f.u.
# ΔE_f: -0.455 eV/atom
# crystal system: orthorhombic
# raw total energy: -4.038 eV/atom
data_Sr2LaPt
_cell_length_a 5.696
_cell_length_b 13.829
_cell_length_c 4.373
_cell_angle_alpha 90.00
_cell_angle_beta 90.00
_cell_angle_gamma 90.00
_symmetry_space_group_name_H-M 'C m m m'
_symmetry_Int_Tables_number 65
_symmetry_space_group_name_Hall '-C 2 2'
loop_
_atom_site_label
_atom_site_type_symbol
_atom_site_fract_x
_atom_site_fract_y
_atom_site_fract_z
Sr1 Sr 0.000 0.150 0.000
La1 La 0.000 0.500 0.500
Pt1 Pt 0.000 0.000 0.500

---

Record 11
# CaReAu PBE-GGA relaxed
# E above lowest polymorph: 1.45 eV/f.u.
# ΔE_f: 0.882 eV/atom
# crystal system: cubic
# raw total energy: -5.027 eV/atom
data_CaReAu
_cell_length_a 6.618
_cell_length_b 6.618
_cell_length_c 6.618
_cell_angle_alpha 90.00
_cell_angle_beta 90.00
_cell_angle_gamma 90.00
_symmetry_space_group_name_H-M 'F -4 3 m'
_symmetry_Int_Tables_number 216
_symmetry_space_group_name_Hall 'F -4 2 3'
loop_
_atom_site_label
_atom_site_type_symbol
_atom_site_fract_x
_atom_site_fract_y
_atom_site_fract_z
Ca1 Ca 0.000 0.000 0.000
Re1 Re 0.000 0.000 0.500
Au1 Au 0.250 0.250 0.750

---

Record 12
# PRh2 PBE-GGA relaxed
# ΔE_f: -0.344 eV/atom
# crystal system: tetragonal
# raw total energy: -7.048 eV/atom
data_PRh2
_cell_length_a 5.584
_cell_length_b 5.584
_cell_length_c 5.266
_cell_angle_alpha 90.00
_cell_angle_beta 90.00
_cell_angle_gamma 90.00
_symmetry_space_group_name_H-M 'I 4/m c m'
_symmetry_Int_Tables_number 140
_symmetry_space_group_name_Hall '-I 4 2c'
loop_
_atom_site_label
_atom_site_type_symbol
_atom_site_fract_x
_atom_site_fract_y
_atom_site_fract_z
P1 P 0.000 0.000 0.250
Rh1 Rh 0.178 0.322 0.000